# 1
## SiNiP (PBE-GGA)

Data for a geometry-optimized SiNiP structure.

formation energy from raw total energies = -0.25 eV per formula unit
energy = -16.9 eV/cell
crystal system = triclinic

Unit cell a=2.786 b=4.120 c=4.338 alpha=77.63 beta=71.71 gamma=70.74
Space group P1 (No. 1)
Asymmetric unit:
Si  0.000  0.000  0.000 x1
Ni  0.654  0.131  0.557 x1
P  0.005  0.577  0.410 x1



# 2
## HoErAl2 (PBE-GGA)

Data for a geometry-optimized HoErAl2 structure.

energy = -18.2 eV/cell
crystal system = tetragonal
energy above the most stable polymorph in this dataset = 0.00 eV per formula unit

Unit cell a=5.055 b=5.055 c=3.575 alpha=90.00 beta=90.00 gamma=90.00
Space group P4/mmm (No. 123)
Asymmetric unit:
Ho  0.000  0.000  0.000 x1
Er  0.500  0.500  0.000 x1
Al  0.000  0.500  0.500 x2



# 3
## Tb4TlHg (PBE-GGA)

Data for a geometry-optimized Tb4TlHg structure.

energy = -91.3 eV/cell
crystal system = orthorhombic
energy above the most stable polymorph in this dataset = 0.00 eV per formula unit

Unit cell a=8.848 b=3.764 c=20.830 alpha=90.00 beta=90.00 gamma=90.00
Space group Pnma (No. 62)
Asymmetric unit:
Tb  0.025  0.250  0.214 x4
Tb  0.029  0.250  0.928 x4
Tb  0.123  0.250  0.439 x4
Tb  0.149  0.250  0.662 x4
Tl  0.221  0.750  0.313 x4
Hg  0.245  0.750  0.550 x4



# 4
## KIrO4 (PBE-GGA)

Data for a geometry-optimized KIrO4 structure.

formation energy from raw total energies = -4.30 eV per formula unit
energy = -136.4 eV/cell
crystal system = orthorhombic

Unit cell a=3.904 b=14.531 c=5.883 alpha=90.00 beta=90.00 gamma=90.00
Space group Cmcm (No. 63)
Asymmetric unit:
K  0.000  0.138  0.250 x4
Ir  0.000  0.408  0.250 x4
O  0.000  0.076  0.750 x4
O  0.000  0.320  0.031 x8
O  0.000  0.500  0.000 x4



# 5
## TmFeH3 (PBE-GGA)

Data for a geometry-optimized TmFeH3 structure.

energy = -25.0 eV/cell
crystal system = cubic

Unit cell a=3.459 b=3.459 c=3.459 alpha=90.00 beta=90.00 gamma=90.00
Space group Pm-3m (No. 221)
Asymmetric unit:
Tm  0.000  0.000  0.000 x1
Fe  0.500  0.500  0.500 x1
H  0.000  0.500  0.500 x3



# 6
## Rb2TlAs2 (PBE-GGA)

Data for a geometry-optimized Rb2TlAs2 structure.

energy = -60.2 eV/cell
crystal system = monoclinic
energy above the most stable polymorph in this dataset = 0.03 eV per formula unit

Unit cell a=11.201 b=7.163 c=9.044 alpha=90.00 beta=102.33 gamma=90.00
Space group C2/c (No. 15)
Asymmetric unit:
Rb  0.149  0.135  0.136 x8
Tl  0.000  0.434  0.750 x4
As  0.150  0.328  0.503 x8



# 7
## La2HgHBr (PBE-GGA)

Data for a geometry-optimized La2HgHBr structure.

energy = -17.8 eV/cell
crystal system = tetragonal

Unit cell a=5.544 b=5.544 c=3.874 alpha=90.00 beta=90.00 gamma=90.00
Space group P4/mmm (No. 123)
Asymmetric unit:
La  0.000  0.500  0.000 x2
Hg  0.000  0.000  0.500 x1
H  0.000  0.000  0.000 x1
Br  0.500  0.500  0.500 x1



# 8
## La6PrSm3 (PBE-GGA)

Data for a geometry-optimized La6PrSm3 structure.

energy = -139.9 eV/cell
crystal system = trigonal
energy above the most stable polymorph in this dataset = 0.00 eV per formula unit

Unit cell a=10.1648 b=10.1648 c=12.2590 alpha=90.00 beta=90.00 gamma=120.00
Space group R3 (No. 146, hexagonal axes)
Asymmetric unit:
La  0.0013  0.3250  0.0000 x9
La  0.0013  0.6775  0.5000 x9
Pr  0.0000  0.0000  0.0019 x3
Sm  0.0000  0.0000  0.2527 x3
Sm  0.0000  0.0000  0.5018 x3
Sm  0.0000  0.0000  0.7491 x3